A relaxed structure of La2Si3Ni12Ir. Source: Alexandria, functional PBE.

abc: 7.2490 7.2490 7.2490
angles: 63.52 63.52 63.52
Positions (direct):
1 La 0.6112 0.6112 0.6112
2 La 0.3888 0.3888 0.3888
3 Si 0.5000 0.0000 0.0000
4 Si 0.0000 0.5000 0.0000
5 Si 0.0000 0.0000 0.5000
6 Ni 0.3576 0.3576 0.9137
7 Ni 0.8670 0.8670 0.3828
8 Ni 0.3828 0.8670 0.8670
9 Ni 0.9137 0.3576 0.3576
10 Ni 0.8670 0.3828 0.8670
11 Ni 0.3576 0.9137 0.3576
12 Ni 0.6424 0.6424 0.0863
13 Ni 0.1330 0.1330 0.6172
14 Ni 0.6172 0.1330 0.1330
15 Ni 0.0863 0.6424 0.6424
16 Ni 0.1330 0.6172 0.1330
17 Ni 0.6424 0.0863 0.6424
18 Ir 0.0000 0.0000 0.0000

Properties
As for the symmetry: R-3m. For the formation energy from raw total energies, the calculation gives 0.1169 eV per atom.